# TeMo2P

A geometry-optimized TeMo2P structure (PBE, the Alexandria database).

Summary:
DFT total energy in eV/atom: -7.407
Size of the total moment in μB/f.u.: 0.0

Unit cell a=3.281 b=3.496 c=6.215 alpha=90.00 beta=104.03 gamma=90.00
Atoms (fractional coordinates):
Te1 0.000 0.000 0.000
Mo1 0.357 0.500 0.717
Mo2 0.643 0.500 0.283
P1 0.000 0.000 0.500

# TeMo2P

A geometry-optimized TeMo2P structure (PBE, the Alexandria database).

Summary:
DFT total energy in eV/atom: -6.946
Size of the total moment in μB/f.u.: 0.0

Unit cell a=3.246 b=4.127 c=5.168 alpha=90.00 beta=90.00 gamma=90.00
Atoms (fractional coordinates):
Te1 0.000 0.000 0.000
Mo1 0.000 0.500 0.500
Mo2 0.500 0.500 0.000
P1 0.500 0.000 0.500